{"formula": "CrFeOs", "functional": "meta-GGA SCAN", "state": "single point on PBEsol structure", "dft_energy_ev_per_atom": -35.541, "space_group": "F-43m", "e_above_lowest_polymorph_mev_per_atom": 463, "lattice": [[3.8647, 0.0000, 0.0000], [1.9324, 3.3470, 0.0000], [1.9324, 1.1157, 3.1555]], "species": ["Fe", "Cr", "Os"], "frac_coords": [[0.2500, 0.2500, 0.2500], [0.5000, 0.5000, 0.5000], [0.0000, 0.0000, 0.0000]]}



{"formula": "CrFeOs", "functional": "meta-GGA SCAN", "state": "single point on PBEsol structure", "dft_energy_ev_per_atom": -35.991, "space_group": "Imm2", "e_above_lowest_polymorph_mev_per_atom": 13, "lattice": [[-0.9729, -2.3469, -0.4333], [2.6400, -0.6615, -2.3449], [1.3282, 0.0848, 4.2234]], "species": ["Cr", "Fe", "Os"], "frac_coords": [[0.0033, 0.0033, 0.0066], [0.6646, 0.6646, 0.3292], [0.3321, 0.3321, 0.6642]]}



{"formula": "CrFe2Os", "functional": "meta-GGA SCAN", "state": "single point on PBEsol structure", "dft_energy_ev_per_atom": -31.512, "space_group": "I4/mmm", "lattice": [[3.5637, 0.0000, 0.0000], [0.0000, 3.5637, 0.0000], [-1.7818, -1.7818, 3.5493]], "species": ["Fe", "Fe", "Os", "Cr"], "frac_coords": [[0.7500, 0.2500, 0.5000], [0.2500, 0.7500, 0.5000], [0.5000, 0.5000, 0.0000], [0.0000, 0.0000, 0.0000]]}



So what do the calculations give for formation energy from the elements? Going down the list: 0.5903, 0.1406, 0.1186 eV/atom.
So what do the calculations give for V? Going down the list: 13.606, 11.841, 11.269 Å³/atom.
So what do the calculations give for spin magnetization? Going down the list: 0.80, 2.06, 2.11 μB per cell.